Below is crystalline ReAg2Ru at its relaxed geometry, with properties calculated at the PBE level.

Unit cell a=5.546 b=5.546 c=5.546 alpha=150.55 beta=128.08 gamma=60.82
Element x y z (fractional)
Re  0.000  0.000  0.000
Ag  0.474  0.474  0.000
Ag  0.737  0.237  0.500
Ru  0.214  0.714  0.500

Output
Formation energy from the elements ... 2.7 eV/f.u.
Crystal system ... orthorhombic
Excess energy over the best structure of this formula in the dataset ... 0.433 eV/atom
Space-group type ... Imm2 (44)

=====

Below is crystalline Ac2La4TbNd at its relaxed geometry, with properties calculated at the PBE level.

Unit cell a=6.471 b=3.797 c=12.574 alpha=90.00 beta=100.50 gamma=90.00
Element x y z (fractional)
Ac  0.000  0.000  0.000
Ac  0.000  0.500  0.500
La  0.255  0.000  0.751
La  0.255  0.500  0.254
La  0.745  0.000  0.249
La  0.745  0.500  0.746
Tb  0.500  0.000  0.500
Nd  0.500  0.500  0.000

Output
Formation energy from the elements ... 0.2 eV/f.u.
Crystal system ... monoclinic
Space-group type ... P2/m (10)

=====

Below is crystalline Ba2CaTe at its relaxed geometry, with properties calculated at the PBE level.

Unit cell a=7.526 b=7.526 c=7.526 alpha=139.62 beta=139.62 gamma=58.44
Element x y z (fractional)
Ba  0.000  0.000  0.000
Ba  0.750  0.250  0.500
Ca  0.250  0.750  0.500
Te  0.500  0.500  0.000

Output
Energy ... -11.3 eV for the cell shown
Crystal system ... tetragonal
Space-group type ... I-4m2 (119)

=====

Below is crystalline RbAg6Sn8 at its relaxed geometry, with properties calculated at the PBE level.

Unit cell a=7.487 b=7.487 c=7.487 alpha=75.21 beta=75.21 gamma=75.21
Element x y z (fractional)
Rb  0.000  0.000  0.000
Ag  0.173  0.371  0.558
Ag  0.371  0.558  0.173
Ag  0.442  0.827  0.629
Ag  0.558  0.173  0.371
Ag  0.629  0.442  0.827
Ag  0.827  0.629  0.442
Sn  0.153  0.795  0.448
Sn  0.205  0.552  0.847
Sn  0.222  0.222  0.222
Sn  0.448  0.153  0.795
Sn  0.552  0.847  0.205
Sn  0.778  0.778  0.778
Sn  0.795  0.448  0.153
Sn  0.847  0.205  0.552

Output
Formation energy from the elements ... 0.4 eV/f.u.
Crystal system ... trigonal
Space-group type ... R-3 (148)

=====

Below is crystalline AcSiAg2Se4 at its relaxed geometry, with properties calculated at the PBE level.

Unit cell a=8.244 b=8.244 c=7.645 alpha=117.40 beta=117.40 gamma=87.73
Element x y z (fractional)
Ac  0.000  0.500  0.000
Ac  0.500  0.000  0.500
Si  0.000  0.000  0.000
Si  0.000  0.000  0.500
Ag  0.000  0.500  0.500
Ag  0.500  0.000  0.000
Ag  0.500  0.500  0.000
Ag  0.500  0.500  0.500
Se  0.181  0.209  0.443
Se  0.209  0.181  0.943
Se  0.260  0.738  0.514
Se  0.262  0.740  0.986
Se  0.738  0.260  0.014
Se  0.740  0.262  0.486
Se  0.791  0.819  0.057
Se  0.819  0.791  0.557

Output
Energy ... -67.3 eV for the cell shown
Crystal system ... monoclinic
Space-group type ... C2/c (15)

=====

Below is crystalline CrTcNi3 at its relaxed geometry, with properties calculated at the PBE level.

Unit cell a=4.860 b=4.860 c=6.229 alpha=107.96 beta=107.96 gamma=61.80
Element x y z (fractional)
Cr  0.146  0.146  0.100
Cr  0.854  0.854  0.900
Tc  0.000  0.500  0.500
Tc  0.500  0.000  0.500
Ni  0.188  0.688  0.266
Ni  0.312  0.812  0.734
Ni  0.346  0.346  0.887
Ni  0.654  0.654  0.113
Ni  0.688  0.188  0.266
Ni  0.812  0.312  0.734

Output
Formation energy from the elements ... 1.0 eV/f.u.
Crystal system ... monoclinic
Excess energy over the best structure of this formula in the dataset ... 0.000 eV/atom
Space-group type ... C2/m (12)

=====

Below is crystalline La3Al2TlPd9 at its relaxed geometry, with properties calculated at the PBE level.

Unit cell a=5.782 b=5.782 c=11.969 alpha=90.00 beta=90.00 gamma=120.00
Element x y z (fractional)
La  0.000  0.000  0.000
La  0.333  0.667  0.747
La  0.667  0.333  0.253
Al  0.333  0.667  0.158
Al  0.667  0.333  0.842
Tl  0.000  0.000  0.500
Pd  0.000  0.500  0.000
Pd  0.162  0.325  0.305
Pd  0.162  0.838  0.305
Pd  0.325  0.162  0.695
Pd  0.500  0.000  0.000
Pd  0.500  0.500  0.000
Pd  0.675  0.838  0.305
Pd  0.838  0.162  0.695
Pd  0.838  0.675  0.695

Output
Formation energy from the elements ... -9.6 eV/f.u.
Crystal system ... trigonal
Space-group type ... P-3m1 (164)

=====

Below is crystalline Ti6MnIr5 at its relaxed geometry, with properties calculated at the PBE level.

Unit cell a=6.687 b=6.687 c=6.608 alpha=90.00 beta=90.00 gamma=143.11
Element x y z (fractional)
Ti  0.000  0.000  0.238
Ti  0.000  0.000  0.762
Ti  0.337  0.663  0.245
Ti  0.337  0.663  0.755
Ti  0.663  0.337  0.245
Ti  0.663  0.337  0.755
Mn  0.500  0.500  0.000
Ir  0.167  0.833  0.000
Ir  0.167  0.833  0.500
Ir  0.500  0.500  0.500
Ir  0.833  0.167  0.000
Ir  0.833  0.167  0.500

Output
Formation energy from the elements ... -9.2 eV/f.u.
Crystal system ... orthorhombic
Space-group type ... Cmmm (65)